Record 1
SbAs3Pb | GGA-PBE | optimized geometry

a b c (Å): 5.2908 5.2908 5.2908
angles (deg): 90.00 90.00 90.00
With the nearest neighbours (Å) after each atom.
Fractional positions:
Sb 0.0000 0.0000 0.0000  6 As 2.65
As 0.0000 0.0000 0.5000  2 Sb 2.65
As 0.0000 0.5000 0.0000  2 Sb 2.65
As 0.5000 0.0000 0.0000  2 Sb 2.65
Pb 0.5000 0.5000 0.5000  12 As 3.74

Offset from the most stable computed form ... 0.000 eV per atom
Formation energy without anion corrections ... 698 meV/atom
Spin magnetization ... 0.0 μB per formula unit
Symmetry ... Pm-3m, No. 221

Record 2
Zr2TaTc | GGA-PBE | optimized geometry

a b c (Å): 2.9827 2.9827 9.5097
angles (deg): 90.00 90.00 112.93
With the nearest neighbours (Å) after each atom.
Fractional positions:
Zr 0.0000 0.0000 0.0000  2 Tc 2.74, 4 Zr 2.98
Zr 0.5000 0.5000 0.2941  8 Zr 2.98-3.30, 2 Ta 3.01
Ta 0.0000 0.0000 0.5585  2 Tc 2.60
Tc 0.5000 0.5000 0.7696  2 Ta 2.60, 2 Zr 2.74

Offset from the most stable computed form ... 0.161 eV per atom
Energy of formation from the pure elements ... -0.031 eV/atom
Spin magnetization ... 0.0 μB per formula unit
Symmetry ... Cmm2, No. 35

Record 3
ErMgCo10 | GGA-PBE | optimized geometry

a b c (Å): 3.9907 4.7897 8.3836
angles (deg): 90.00 90.00 90.00
With the nearest neighbours (Å) after each atom.
Fractional positions:
Er 0.0000 0.0000 0.0000  18 Co 2.85-3.13
Mg 0.0000 0.5000 0.5000  6 Co 2.64-2.74
Co 0.0000 0.0000 0.3424  7 Co 2.39-2.64
Co 0.0000 0.0000 0.6576  7 Co 2.39-2.64
Co 0.0000 0.5000 0.1851  6 Co 2.39-2.53, 1 Mg 2.64
Co 0.0000 0.5000 0.8149  6 Co 2.39-2.53, 1 Mg 2.64
Co 0.5000 0.0000 0.5000  8 Co 2.39-2.41
Co 0.5000 0.2494 0.2502  8 Co 2.39-2.45
Co 0.5000 0.2494 0.7498  8 Co 2.39-2.45
Co 0.5000 0.5000 0.0000  8 Co 2.42-2.53
Co 0.5000 0.7506 0.2502  8 Co 2.39-2.45
Co 0.5000 0.7506 0.7498  8 Co 2.39-2.45

Energy of formation from the pure elements ... -0.001 eV/atom
Spin magnetization ... 15.4 μB per formula unit
Symmetry ... Pmmm, No. 47

Record 4
SrTaPb2 | GGA-PBE | optimized geometry

a b c (Å): 3.4445 3.4445 8.9950
angles (deg): 90.00 90.00 95.50
With the nearest neighbours (Å) after each atom.
Fractional positions:
Sr 0.0000 0.0000 0.0000  8 Pb 3.44-3.61, 4 Sr 3.44
Ta 0.0000 0.0000 0.5000  8 Pb 3.03-3.21
Pb 0.5000 0.5000 0.2833  4 Ta 3.03-3.21
Pb 0.5000 0.5000 0.7167  4 Ta 3.03-3.21

Energy of formation from the pure elements ... 0.223 eV/atom
Spin magnetization ... 0.0 μB per formula unit
Symmetry ... Cmmm, No. 65